1.
PrEr4Hg GGA-PBE relaxed; density of states at the Fermi level = 1.415 states/eV per atom; ΔH_f (0 K) = -138 meV/atom; energy relative to the lowest polymorph listed for this composition = 0.00 eV per formula unit; final energy = -0.14798 hartree per atom
1.0
3.578 0.000 0.000
0.000 3.578 0.000
0.000 0.000 13.979
Pr Er Hg
1 4 1
Cartesian
0.000 0.000 0.000
1.789 1.789 2.544
0.000 0.000 8.965
0.000 0.000 5.014
1.789 1.789 11.435
1.789 1.789 6.990

2.
Pr2Er2Hg GGA-PBE relaxed; density of states at the Fermi level = 1.509 states/eV per atom; ΔH_f (0 K) = -181 meV/atom; energy relative to the lowest polymorph listed for this composition = 0.00 eV per formula unit; final energy = -0.14619 hartree per atom
1.0
-3.299 -0.141 -1.515
1.519 -0.507 -3.261
0.618 -11.184 4.052
Pr Er Hg
2 2 1
Cartesian
-1.058 -7.413 -1.363
-0.104 -4.420 0.639
-0.935 -2.222 -2.114
-0.227 -9.611 1.390
0.000 0.000 0.000

3.
PrErHg5 GGA-PBE relaxed; density of states at the Fermi level = 0.694 states/eV per atom; ΔH_f (0 K) = -249 meV/atom; final energy = -0.06613 hartree per atom
1.0
5.364 0.095 -0.001
-1.656 5.103 -0.001
-0.001 -0.001 6.975
Pr Er Hg
1 1 5
Cartesian
0.000 0.000 0.000
1.854 2.598 3.487
1.026 5.150 1.716
4.535 2.646 1.716
0.000 -0.001 3.488
-0.828 2.550 5.258
2.681 0.047 5.257

4.
PrErHg GGA-PBE relaxed; density of states at the Fermi level = 1.575 states/eV per atom; ΔH_f (0 K) = -92 meV/atom; energy relative to the lowest polymorph listed for this composition = 0.66 eV per formula unit; final energy = -0.12154 hartree per atom
1.0
-3.812 2.286 2.673
-1.955 -2.305 4.215
0.949 1.964 4.705
Pr Hg Er
1 1 1
Cartesian
-2.409 0.973 5.796
-1.204 0.486 2.898
0.000 0.000 0.000

5.
Pr6Er2Hg GGA-PBE relaxed; density of states at the Fermi level = 1.299 states/eV per atom; ΔH_f (0 K) = 2 meV/atom; final energy = -0.15552 hartree per atom
1.0
3.619 0.000 -0.133
0.000 10.435 0.000
-1.513 -5.218 8.108
Pr Er Hg
6 2 1
Cartesian
0.106 1.700 2.838
2.001 6.917 5.137
2.001 3.518 5.137
1.810 3.150 -0.067
0.106 -1.700 2.838
1.810 7.285 -0.067
0.091 5.218 2.478
2.015 0.000 5.497
0.000 0.000 0.000

6.
Pr3Er2Hg3 GGA-PBE relaxed; density of states at the Fermi level = 1.269 states/eV per atom; ΔH_f (0 K) = -352 meV/atom; final energy = -0.12489 hartree per atom
1.0
-0.254 3.666 0.889
-1.412 1.161 -5.188
-10.026 -3.806 4.792
Pr Er Hg
3 2 3
Cartesian
-3.504 2.071 -1.499
-8.187 -1.050 1.993
-0.127 1.833 0.445
-5.213 1.181 1.683
-6.479 -0.160 -1.189
-2.723 -0.349 0.663
-0.706 0.580 -2.594
-8.968 1.370 -0.169